Record 1
A crystal of Zn2SeCl relaxed with PBEsol. Source: the Alexandria database, functional meta-GGA SCAN.

The energy relative to the elements, uncorrected is -0.307 eV/atom. The energy above the most stable polymorph in this dataset is 0.00 eV per formula unit.

The structure belongs to space group Immm (No. 71); the cell edges are 3.6588, 6.4569 and 7.0119 Å and the angles 90.00°, 90.00° and 90.00°. The inequivalent atoms are Zn at (0.0000, 0.0000, 0.2429), Se at (0.0000, 0.5000, 0.5000) and Cl at (0.0000, 0.5000, 0.0000).

Record 2
A crystal of ZrSe2Cl12 relaxed with PBEsol. Source: the Alexandria database, functional meta-GGA SCAN.

The energy relative to the elements, uncorrected is -0.939 eV/atom.

The structure belongs to space group Fdd2 (No. 43); the cell edges are 11.9863, 12.8109 and 21.5972 Å and the angles 90.00°, 90.00° and 90.00°. The inequivalent atoms are Zr at (0.0000, 0.0000, 0.0000), Se at (0.0043, 0.2258, 0.5825), Cl at (0.1075, 0.1715, 0.5053), Cl at (0.1109, 0.1650, 0.6570), Cl at (0.1130, 0.4143, 0.5816), Cl at (0.1163, 0.4024, 0.0794), Cl at (0.1185, 0.1570, 0.0022) and Cl at (0.1233, 0.4229, 0.4218).

Record 3
A crystal of ZrSeCl2 relaxed with PBEsol. Source: the Alexandria database, functional meta-GGA SCAN.

The energy relative to the elements, uncorrected is -0.959 eV/atom. The energy above the most stable polymorph in this dataset is 0.00 eV per formula unit.

The structure belongs to space group F-43m (No. 216); the cell edges are 6.6779, 6.6779 and 6.6779 Å and the angles 90.00°, 90.00° and 90.00°. The inequivalent atoms are Zr at (0.0000, 0.0000, 0.0000), Se at (0.2500, 0.2500, 0.2500), Cl at (0.0000, 0.0000, 0.5000) and Cl at (0.2500, 0.2500, 0.7500).

Record 4
A crystal of ZrSeCl2 relaxed with PBEsol. Source: the Alexandria database, functional meta-GGA SCAN.

The energy relative to the elements, uncorrected is -0.571 eV/atom. The energy above the most stable polymorph in this dataset is 1.55 eV per formula unit.

The structure belongs to space group Pmmm (No. 47); the cell edges are 3.3614, 4.5953 and 4.8189 Å and the angles 90.00°, 90.00° and 90.00°. The inequivalent atoms are Zr at (0.0000, 0.0000, 0.0000), Se at (0.5000, 0.0000, 0.5000), Cl at (0.0000, 0.5000, 0.5000) and Cl at (0.5000, 0.5000, 0.0000).

Sequential calculated total energy output: -14.08; -12.05; -17.64; -17.25 eV/atom